(1)
K3HoRe2O9 | PBE | optimized geometry

Cell and atoms, written as CIF:
```
data_K3HoRe2O9
_chemical_formula_sum 'K3 Ho1 Re2 O9'
_space_group_name_H-M_alt 'P -3 m 1'
_space_group_IT_number 164
_space_group_name_Hall '-P 3 2"'
_cell_length_a 5.7530
_cell_length_b 5.7530
_cell_length_c 7.1116
_cell_angle_alpha 90.00
_cell_angle_beta 90.00
_cell_angle_gamma 120.00
loop_
_atom_site_label
_atom_site_type_symbol
_atom_site_fract_x
_atom_site_fract_y
_atom_site_fract_z
_atom_site_occupancy
K1 K 0.0000 0.0000 0.0000 1
K2 K 0.3333 0.6667 0.6680 1
Ho1 Ho 0.0000 0.0000 0.5000 1
Re1 Re 0.3333 0.6667 0.1594 1
O1 O 0.0000 0.5000 0.0000 1
O2 O 0.1782 0.3563 0.3104 1
```

Properties
Formation energy without anion corrections   -2.055 eV/atom
Electronic total energy   -108.22 eV/f.u.
Theoretical density   6506 kg/m3
Total magnetic moment   0.00 μB/cell

(2)
KHoReO6 | PBE | optimized geometry

Cell and atoms, written as CIF:
```
data_KHoReO6
_chemical_formula_sum 'K2 Ho2 Re2 O12'
_space_group_name_H-M_alt 'C 1 2 1'
_space_group_IT_number 5
_space_group_name_Hall 'C 2y'
_cell_length_a 5.739
_cell_length_b 10.032
_cell_length_c 5.626
_cell_angle_alpha 90.00
_cell_angle_beta 93.00
_cell_angle_gamma 90.00
loop_
_atom_site_label
_atom_site_type_symbol
_atom_site_fract_x
_atom_site_fract_y
_atom_site_fract_z
_atom_site_occupancy
K1 K 0.000 0.000 0.000 1
Ho1 Ho 0.000 0.318 0.500 1
Re1 Re 0.000 0.679 0.500 1
O1 O 0.094 0.516 0.335 1
O2 O 0.155 0.786 0.294 1
O3 O 0.225 0.187 0.301 1
```

Properties
Formation energy without anion corrections   -2.003 eV/atom
Electronic total energy   -65.90 eV/f.u.
Theoretical density   4993 kg/m3
Total magnetic moment   2.10 μB/cell

(3)
KHoRe2O8 | PBE | optimized geometry

Cell and atoms, written as CIF:
```
data_KHoRe2O8
_chemical_formula_sum 'K1 Ho1 Re2 O8'
_space_group_name_H-M_alt 'P -3 m 1'
_space_group_IT_number 164
_space_group_name_Hall '-P 3 2"'
_cell_length_a 6.0040
_cell_length_b 6.0040
_cell_length_c 7.5635
_cell_angle_alpha 90.00
_cell_angle_beta 90.00
_cell_angle_gamma 120.00
loop_
_atom_site_label
_atom_site_type_symbol
_atom_site_fract_x
_atom_site_fract_y
_atom_site_fract_z
_atom_site_occupancy
K1 K 0.0000 0.0000 0.0000 1
Ho1 Ho 0.0000 0.0000 0.5000 1
Re1 Re 0.3333 0.6667 0.7636 1
O1 O 0.1696 0.3392 0.6820 1
O2 O 0.3333 0.6667 0.9968 1
```

Properties
Formation energy without anion corrections   -2.008 eV/atom
Electronic total energy   -94.34 eV/f.u.
Theoretical density   4954 kg/m3
Total magnetic moment   2.02 μB/cell

(4)
K2HoRe3O12 | PBE | optimized geometry

Cell and atoms, written as CIF:
```
data_K2HoRe3O12
_chemical_formula_sum 'K6 Ho3 Re9 O36'
_space_group_name_H-M_alt 'R -3 m'
_space_group_IT_number 166
_space_group_name_Hall '-R 3 2"'
_cell_length_a 7.3968
_cell_length_b 7.3968
_cell_length_c 18.5947
_cell_angle_alpha 90.00
_cell_angle_beta 90.00
_cell_angle_gamma 120.00
loop_
_atom_site_label
_atom_site_type_symbol
_atom_site_fract_x
_atom_site_fract_y
_atom_site_fract_z
_atom_site_occupancy
K1 K 0.0000 0.0000 0.1287 1
Ho1 Ho 0.0000 0.0000 0.5000 1
Re1 Re 0.0000 0.5000 0.0000 1
O1 O 0.0453 0.5226 0.0987 1
O2 O 0.0847 0.5423 0.3449 1
```

Properties
Formation energy without anion corrections   -1.916 eV/atom
Electronic total energy   -138.10 eV/f.u.
Theoretical density   5619 kg/m3
Total magnetic moment   2.49 μB/cell

(5)
KHo2ReO8 | PBE | optimized geometry

Cell and atoms, written as CIF:
```
data_KHo2ReO8
_chemical_formula_sum 'K1 Ho2 Re1 O8'
_space_group_name_H-M_alt 'P -1'
_space_group_IT_number 2
_space_group_name_Hall '-P 1'
_cell_length_a 5.238
_cell_length_b 5.379
_cell_length_c 7.037
_cell_angle_alpha 83.91
_cell_angle_beta 73.07
_cell_angle_gamma 75.48
loop_
_atom_site_label
_atom_site_type_symbol
_atom_site_fract_x
_atom_site_fract_y
_atom_site_fract_z
_atom_site_occupancy
K1 K 0.000 0.000 0.000 1
Ho1 Ho 0.345 0.441 0.314 1
Re1 Re 0.000 0.000 0.500 1
O1 O 0.072 0.266 0.620 1
O2 O 0.240 0.086 0.261 1
O3 O 0.303 0.745 0.555 1
O4 O 0.356 0.546 0.988 1
```

Properties
Formation energy without anion corrections   -2.284 eV/atom
Electronic total energy   -89.77 eV/f.u.
Theoretical density   6183 kg/m3
Total magnetic moment   0.04 μB/cell

(6)
K2HoRhO4 | PBE | optimized geometry

Cell and atoms, written as CIF:
```
data_K2HoRhO4
_chemical_formula_sum 'K2 Ho1 Rh1 O4'
_space_group_name_H-M_alt 'P 1 2/m 1'
_space_group_IT_number 10
_space_group_name_Hall '-P 2y'
_cell_length_a 5.578
_cell_length_b 3.371
_cell_length_c 6.489
_cell_angle_alpha 90.00
_cell_angle_beta 108.05
_cell_angle_gamma 90.00
loop_
_atom_site_label
_atom_site_type_symbol
_atom_site_fract_x
_atom_site_fract_y
_atom_site_fract_z
_atom_site_occupancy
K1 K 0.000 0.000 0.000 1
K2 K 0.500 0.500 0.000 1
Ho1 Ho 0.000 0.500 0.500 1
Rh1 Rh 0.500 0.000 0.500 1
O1 O 0.239 0.000 0.691 1
O2 O 0.293 0.500 0.321 1
```

Properties
Formation energy without anion corrections   -1.858 eV/atom
Electronic total energy   -48.82 eV/f.u.
Theoretical density   5869 kg/m3
Total magnetic moment   0.00 μB/cell